(1)
Entry from the Alexandria database: a relaxed NaPtSN2 crystal (PBE).

Geometry as extended XYZ:
```
5
Lattice="-1.5534 1.3053 -3.2849 2.2734 -2.3787 -2.0203 -3.7653 -3.8213 0.2621" Properties=species:S:1:pos:R:3 pbc="T T T"
Pt 0.0000 0.0000 0.0000
N -0.7767 0.6527 -1.6425
N 1.1367 -1.1893 -1.0101
Na -1.5227 -2.4473 -2.5215
S -1.8827 -1.9107 0.1311
```

---

(2)
Entry from the Alexandria database: a relaxed NaPtS2N crystal (PBE).

Geometry as extended XYZ:
```
5
Lattice="-2.4561 -2.8779 2.9432 -1.4868 -2.5757 -3.7593 3.1662 -2.3419 0.3523" Properties=species:S:1:pos:R:3 pbc="T T T"
S -1.2281 -1.4390 1.4716
S -0.7434 -1.2878 -1.8797
Pt -0.3884 -3.8978 -0.2319
N 1.5831 -1.1710 0.1761
Na 0.0000 0.0000 0.0000
```

---

(3)
Entry from the Alexandria database: a relaxed NaPtS2N crystal (PBE).

Geometry as extended XYZ:
```
5
Lattice="-2.6359 -2.0734 -3.8493 0.5505 -4.6164 2.1096 -3.1177 0.4846 1.8739" Properties=species:S:1:pos:R:3 pbc="T T T"
S 0.2753 -2.3082 1.0548
S -1.3180 -1.0367 -1.9247
Na -2.6016 -3.1026 0.0671
Pt 0.0000 0.0000 0.0000
N -1.5589 0.2423 0.9370
```

---

Formation energy from raw total energies: 0.849 1.954 0.293 (eV per atom)
Calculated density: 5768 5414 5142 (kg/m3)